InSnHOs2 (PBE, relaxed); energy = -5.113 eV/atom; density = 11.76 g/cm³; Fermi-level density of states = 5.56 states/eV per cell
1.0
5.067 0.000 0.000
0.000 3.381 0.000
0.000 0.000 5.067
H Os Sn In
1 2 1 1
direct
0.000 0.500 0.000
0.000 0.000 0.500
0.500 0.000 0.000
0.000 0.000 0.000
0.500 0.500 0.500